# SiAgIr3, relaxed, DFT PBE
# * ΔE to the lowest computed polymorph: 0.000 eV/f.u.
# * VASP energy: -6.25 eV per atom
# * E_form (uncorrected): 70 kJ/mol of atoms
# * magnetic moment: 0.000 μB/f.u.
data_SiAgIr3
_cell_length_a 4.441
_cell_length_b 4.441
_cell_length_c 4.441
_cell_angle_alpha 90.00
_cell_angle_beta 90.00
_cell_angle_gamma 90.00
_symmetry_space_group_name_H-M 'P m -3 m'
_symmetry_Int_Tables_number 221
_symmetry_space_group_name_Hall '-P 4 2 3'
loop_
_atom_site_label
_atom_site_type_symbol
_atom_site_fract_x
_atom_site_fract_y
_atom_site_fract_z
_atom_site_occupancy
Si1 Si 0.000 0.000 0.000 1
Ag1 Ag 0.500 0.500 0.500 1
Ir1 Ir 0.000 0.000 0.500 1



# Pr3Sn4Pd8, relaxed, DFT PBE
# * formation energy from the elements: -738 meV/atom
# * VASP energy: -5.53 eV per atom
# * magnetic moment: 0.000 μB/f.u.
data_Pr3Sn4Pd8
_cell_length_a 13.497
_cell_length_b 13.497
_cell_length_c 13.497
_cell_angle_alpha 90.00
_cell_angle_beta 90.00
_cell_angle_gamma 90.00
_symmetry_space_group_name_H-M 'F m -3 m'
_symmetry_Int_Tables_number 225
_symmetry_space_group_name_Hall '-F 4 2 3'
loop_
_atom_site_label
_atom_site_type_symbol
_atom_site_fract_x
_atom_site_fract_y
_atom_site_fract_z
_atom_site_occupancy
Pr1 Pr 0.000 0.000 0.230 1
Sn1 Sn 0.000 0.000 0.000 1
Sn2 Sn 0.000 0.000 0.500 1
Sn3 Sn 0.000 0.250 0.250 1
Pd1 Pd 0.123 0.123 0.377 1
Pd2 Pd 0.168 0.168 0.168 1



# InNiAsSe2, relaxed, DFT PBE
# * ΔE to the lowest computed polymorph: 0.000 eV/f.u.
# * VASP energy: -3.86 eV per atom
# * E_form (uncorrected): 16 kJ/mol of atoms
# * magnetic moment: 0.000 μB/f.u.
data_InNiAsSe2
_cell_length_a 5.082
_cell_length_b 5.082
_cell_length_c 4.337
_cell_angle_alpha 90.00
_cell_angle_beta 90.00
_cell_angle_gamma 90.00
_symmetry_space_group_name_H-M 'P 4/m m m'
_symmetry_Int_Tables_number 123
_symmetry_space_group_name_Hall '-P 4 2'
loop_
_atom_site_label
_atom_site_type_symbol
_atom_site_fract_x
_atom_site_fract_y
_atom_site_fract_z
_atom_site_occupancy
In1 In 0.000 0.000 0.000 1
Ni1 Ni 0.500 0.500 0.500 1
As1 As 0.500 0.500 0.000 1
Se1 Se 0.000 0.500 0.500 1



# DyGa4Ag6, relaxed, DFT PBE
# * formation energy from the elements: -141 meV/atom
# * VASP energy: -3.21 eV per atom
# * magnetic moment: 0.000 μB/f.u.
data_DyGa4Ag6
_cell_length_a 7.4862
_cell_length_b 7.4862
_cell_length_c 4.2626
_cell_angle_alpha 90.00
_cell_angle_beta 90.00
_cell_angle_gamma 120.00
_symmetry_space_group_name_H-M 'P -6 m 2'
_symmetry_Int_Tables_number 187
_symmetry_space_group_name_Hall 'P -6 2'
loop_
_atom_site_label
_atom_site_type_symbol
_atom_site_fract_x
_atom_site_fract_y
_atom_site_fract_z
_atom_site_occupancy
Dy1 Dy 0.0000 0.0000 0.0000 1
Ga1 Ga 0.1943 0.3887 0.5000 1
Ga2 Ga 0.6667 0.3333 0.0000 1
Ag1 Ag 0.0743 0.5372 0.0000 1
Ag2 Ag 0.4042 0.2021 0.5000 1



# Sn2Pt2S, relaxed, DFT PBE
# * VASP energy: -5.01 eV per atom
# * E_form (uncorrected): -16 kJ/mol of atoms
# * magnetic moment: 0.000 μB/f.u.
data_Sn2Pt2S
_cell_length_a 3.831
_cell_length_b 3.831
_cell_length_c 14.423
_cell_angle_alpha 90.00
_cell_angle_beta 90.00
_cell_angle_gamma 90.00
_symmetry_space_group_name_H-M 'I 4/m m m'
_symmetry_Int_Tables_number 139
_symmetry_space_group_name_Hall '-I 4 2'
loop_
_atom_site_label
_atom_site_type_symbol
_atom_site_fract_x
_atom_site_fract_y
_atom_site_fract_z
_atom_site_occupancy
Sn1 Sn 0.000 0.000 0.108 1
Pt1 Pt 0.000 0.500 0.250 1
S1 S 0.000 0.000 0.500 1



# LiCrTc2, relaxed, DFT PBE
# * formation energy from the elements: 354 meV/atom
# * ΔE to the lowest computed polymorph: 0.675 eV/f.u.
# * VASP energy: -7.71 eV per atom
# * magnetic moment: 1.503 μB/f.u.
data_LiCrTc2
_cell_length_a 5.119
_cell_length_b 8.406
_cell_length_c 2.525
_cell_angle_alpha 90.00
_cell_angle_beta 90.00
_cell_angle_gamma 90.00
_symmetry_space_group_name_H-M 'C m m m'
_symmetry_Int_Tables_number 65
_symmetry_space_group_name_Hall '-C 2 2'
loop_
_atom_site_label
_atom_site_type_symbol
_atom_site_fract_x
_atom_site_fract_y
_atom_site_fract_z
_atom_site_occupancy
Li1 Li 0.000 0.000 0.000 1
Cr1 Cr 0.000 0.500 0.000 1
Tc1 Tc 0.250 0.250 0.500 1